VASP calculation (GGA-PBE) on crystalline Tl3CdSb2Se6 at its relaxed geometry.

Lattice parameters (Å, degrees): 7.2488 7.2488 7.8049 98.80 98.80 120.12
Element x y z (fractional)
Se 0.7367 0.7367 0.2087
Se 0.5943 0.9277 0.7841
Se 0.9277 0.5943 0.7841
Se 0.0723 0.4057 0.2159
Se 0.4057 0.0723 0.2159
Se 0.2633 0.2633 0.7913
Sb 0.3333 0.6667 0.0000
Sb 0.6667 0.3333 0.0000
Cd 0.0000 0.0000 0.0000
Tl 0.5000 0.5000 0.5000
Tl 0.8363 0.1637 0.5000
Tl 0.1637 0.8363 0.5000

Calculated values
theoretical density = 7.10 g/cm3
uncorrected formation energy = -0.365 eV/atom
spin magnetization = 0.00 μB per formula unit
uncorrected energy = -3.46 eV per atom


VASP calculation (GGA-PBE) on crystalline LiPaBi2 at its relaxed geometry.

Lattice parameters (Å, degrees): 4.4791 4.4791 7.5420 72.73 72.73 60.00
Site moments in Bohr magnetons follow the coordinates.
Element x y z (fractional)
Bi 0.2517 0.2517 0.2448  -0.01
Bi 0.0857 0.0857 0.7428  -0.01
Li 0.4933 0.4933 0.5200  0.00
Pa 0.6692 0.6692 0.9925  0.12

Calculated values
theoretical density = 8.85 g/cm3
spin magnetization = 0.11 μB per formula unit
uncorrected energy = -4.97 eV per atom
E_form = -0.1744 eV per atom
energy above the most stable polymorph in this dataset = 88 meV per atom


VASP calculation (GGA-PBE) on crystalline LaCoRe2 at its relaxed geometry.

Lattice parameters (Å, degrees): 9.6494 9.6494 9.6494 17.16 17.16 17.16
Site moments in Bohr magnetons follow the coordinates.
Element x y z (fractional)
Re 0.9876 0.9876 0.9876  -0.05
Re 0.2477 0.2477 0.2477  0.06
Co 0.5112 0.5112 0.5112  1.31
La 0.7535 0.7535 0.7535  0.01

Calculated values
theoretical density = 13.88 g/cm3
spin magnetization = 1.26 μB per formula unit
uncorrected energy = -8.65 eV per atom
E_form = 0.5865 eV per atom
energy above the most stable polymorph in this dataset = 420 meV per atom


VASP calculation (GGA-PBE) on crystalline Tl2RuSe at its relaxed geometry.

Lattice parameters (Å, degrees): 3.2454 3.2454 8.3939 90.00 90.00 89.99
Element x y z (fractional)
Ru 0.5000 0.5000 0.2500
Tl 0.0000 0.0000 0.0426
Tl 0.0000 0.0000 0.4574
Se 0.5000 0.5000 0.7500

Calculated values
theoretical density = 11.06 g/cm3
uncorrected formation energy = 0.514 eV/atom
spin magnetization = 0.00 μB per formula unit
uncorrected energy = -3.86 eV per atom
energy above the most stable polymorph in this dataset = 440 meV per atom


VASP calculation (GGA-PBE) on crystalline Pm2PuSi3Ir4 at its relaxed geometry.

Lattice parameters (Å, degrees): 4.1701 4.1701 10.8022 90.00 90.00 90.00
Site moments in Bohr magnetons follow the coordinates.
Element x y z (fractional)
Ir 0.5000 0.5000 0.0000  0.00
Ir 0.0000 0.0000 0.0000  0.00
Ir 0.0000 0.5000 0.3422  -0.09
Ir 0.5000 0.0000 0.6578  -0.09
Pm 0.5000 0.0000 0.2318  0.04
Pm 0.0000 0.5000 0.7682  0.04
Si 0.0000 0.5000 0.1191  0.00
Si 0.5000 0.0000 0.8809  0.00
Si 0.0000 0.0000 0.5000  -0.04
Pu 0.5000 0.5000 0.5000  4.79

Calculated values
theoretical density = 12.26 g/cm3
uncorrected formation energy = -0.886 eV/atom
spin magnetization = 4.91 μB per formula unit
uncorrected energy = -8.44 eV per atom


VASP calculation (GGA-PBE) on crystalline K2SiHg at its relaxed geometry.

Lattice parameters (Å, degrees): 5.4087 5.4087 5.4087 60.00 60.00 60.00
Element x y z (fractional)
Si 0.7500 0.7500 0.7500
K 0.2500 0.2500 0.2500
K 0.0000 0.0000 0.0000
Hg 0.5000 0.5000 0.5000

Calculated values
theoretical density = 4.55 g/cm3
uncorrected formation energy = 0.162 eV/atom
spin magnetization = 0.00 μB per formula unit
uncorrected energy = -1.82 eV per atom
energy above the most stable polymorph in this dataset = 177 meV per atom


VASP calculation (GGA-PBE) on crystalline Mg3PN at its relaxed geometry.

Lattice parameters (Å, degrees): 3.8101 6.4705 7.2840 90.00 105.15 90.00
Element x y z (fractional)
N 0.9401 0.2500 0.3821
N 0.0599 0.7500 0.6179
P 0.6828 0.2500 0.8651
P 0.3172 0.7500 0.1349
Mg 0.8462 0.0128 0.1931
Mg 0.8462 0.4872 0.1931
Mg 0.4943 0.2500 0.4906
Mg 0.1538 0.5128 0.8069
Mg 0.1538 0.9872 0.8069
Mg 0.5057 0.7500 0.5094

Calculated values
theoretical density = 2.26 g/cm3
uncorrected formation energy = -0.523 eV/atom
spin magnetization = 0.00 μB per formula unit
uncorrected energy = -4.23 eV per atom
energy above the most stable polymorph in this dataset = 215 meV per atom


VASP calculation (GGA-PBE) on crystalline PmSbAu at its relaxed geometry.

Lattice parameters (Å, degrees): 4.1744 4.1744 5.4209 112.65 112.65 90.00
Element x y z (fractional)
Au 0.9442 0.9442 0.8884
Pm 0.2783 0.2783 0.5565
Sb 0.6276 0.6276 0.2551

Calculated values
theoretical density = 9.72 g/cm3
uncorrected formation energy = -0.622 eV/atom
spin magnetization = 0.00 μB per formula unit
uncorrected energy = -4.67 eV per atom
energy above the most stable polymorph in this dataset = 215 meV per atom


VASP calculation (GGA-PBE) on crystalline Ba8Bi5Cl at its relaxed geometry.

Lattice parameters (Å, degrees): 9.2722 9.2722 9.2722 109.86 108.70 109.86
Element x y z (fractional)
Ba 0.4961 0.6121 0.2553
Ba 0.1160 0.7592 0.5039
Ba 0.6198 0.8860 0.8702
Ba 0.9842 0.1140 0.7338
Ba 0.6432 0.3879 0.8840
Ba 0.2662 0.2504 0.3802
Ba 0.7447 0.2408 0.3568
Ba 0.1298 0.7496 0.0158
Bi 0.3670 0.1209 0.9907
Bi 0.0093 0.3763 0.1302
Bi 0.7539 0.6237 0.6330
Bi 0.8698 0.8791 0.2461
Bi 0.5000 0.0000 0.5000
Cl 0.2500 0.5000 0.7500

Calculated values
theoretical density = 5.90 g/cm3
uncorrected formation energy = -1.113 eV/atom
spin magnetization = 0.00 μB per formula unit
uncorrected energy = -3.73 eV per atom


VASP calculation (GGA-PBE) on crystalline In2Hg2Cl at its relaxed geometry.

Lattice parameters (Å, degrees): 8.2743 8.2743 4.2135 90.00 90.00 90.00
Element x y z (fractional)
Hg 0.3654 0.1346 0.5000
Hg 0.6346 0.8654 0.5000
Hg 0.1346 0.6346 0.5000
Hg 0.8654 0.3654 0.5000
In 0.8239 0.6761 0.0000
In 0.6761 0.1761 0.0000
In 0.3239 0.8239 0.0000
In 0.1761 0.3239 0.0000
Cl 0.5000 0.5000 0.0000
Cl 0.0000 0.0000 0.0000

Calculated values
theoretical density = 7.67 g/cm3
uncorrected formation energy = -0.264 eV/atom
spin magnetization = 0.00 μB per formula unit
uncorrected energy = -1.85 eV per atom
energy above the most stable polymorph in this dataset = 0 meV per atom


VASP calculation (GGA-PBE) on crystalline Li4TbHo at its relaxed geometry.

Lattice parameters (Å, degrees): 5.8292 5.8292 5.8292 60.00 60.00 60.00
Element x y z (fractional)
Li 0.6251 0.6251 0.1246
Li 0.1246 0.6251 0.6251
Li 0.6251 0.6251 0.6251
Li 0.6251 0.1246 0.6251
Ho 0.0000 0.0000 0.0000
Tb 0.2500 0.2500 0.2500

Calculated values
theoretical density = 4.17 g/cm3
spin magnetization = 0.00 μB per formula unit
uncorrected energy = -2.69 eV per atom
E_form = 0.1187 eV per atom


VASP calculation (GGA-PBE) on crystalline SnAsS at its relaxed geometry.

Lattice parameters (Å, degrees): 3.7813 6.0029 7.7991 73.83 75.97 71.64
Element x y z (fractional)
As 0.2235 0.1099 0.4430
As 0.7635 0.2509 0.2221
Sn 0.0490 0.7933 0.1088
Sn 0.3946 0.3960 0.8149
S 0.9906 0.4570 0.5619
S 0.6022 0.9329 0.8627

Calculated values
theoretical density = 4.71 g/cm3
uncorrected formation energy = -0.198 eV/atom
spin magnetization = 0.00 μB per formula unit
uncorrected energy = -4.46 eV per atom
energy above the most stable polymorph in this dataset = 0 meV per atom